First-principles (PBE) data for crystalline TeAu2Cl at its relaxed geometry, as listed in the Alexandria database.

a = 4.4684 Å, b = 4.4684 Å, c = 7.8968 Å
α = 115.71°, β = 115.71°, γ = 53.51°
Closest atoms and distances in Å follow each position.
Element x y z (fractional)
Te (0.0000, 0.0000, 0.0000)  3 Au 2.65-2.78
Au (0.4834, 0.4834, 0.3698)  2 Cl 2.52, 2 Au 2.74
Au (0.7458, 0.7458, 0.1458)  3 Te 2.65-2.78, 2 Au 2.74
Cl (0.1408, 0.1408, 0.5792)  2 Au 2.52

Results
Relative energy among the computed polymorphs = 21 meV per atom
Energy relative to the elements, uncorrected = -0.042 eV per atom
Symmetry = Cm
Spin magnetization = 0.000 μB/atom